(1)
The following is a GGA-PBE calculation of a relaxed LiAcYZn crystal, from the Alexandria database.

Structure (extended XYZ):
```
4
Lattice="0.000 3.806 3.806 3.806 0.000 3.806 3.806 3.806 0.000" Properties=species:S:1:pos:R:3 pbc="T T T"
Li 0.000 0.000 0.000
Ac 5.709 5.709 5.709
Y 1.903 1.903 1.903
Zn 3.806 3.806 3.806
```

Calculated values
E_form: -0.070 eV/atom
spin magnetization: 0.00 μB per cell
Fermi-level density of states: 5.50 states/eV/cell


(2)
The following is a GGA-PBE calculation of a relaxed BeReOs crystal, from the Alexandria database.

Structure (extended XYZ):
```
3
Lattice="4.027 0.000 0.000 -2.013 3.487 0.000 0.000 0.000 2.748" Properties=species:S:1:pos:R:3 pbc="T T T"
Be 0.000 0.000 0.000
Re 2.013 1.162 1.381
Os 0.000 2.325 0.008
```

Calculated values
excess energy over the best structure of this formula in the dataset: 166 meV per atom
E_form: -0.011 eV/atom
spin magnetization: 0.00 μB per cell
Fermi-level density of states: 1.68 states/eV/cell


(3)
The following is a GGA-PBE calculation of a relaxed Sc2PbSe2 crystal, from the Alexandria database.

Structure (extended XYZ):
```
10
Lattice="7.890 0.000 0.000 0.000 7.890 0.000 0.000 0.000 3.531" Properties=species:S:1:pos:R:3 pbc="T T T"
Sc 1.204 2.741 0.000
Sc 2.741 6.685 0.000
Sc 5.149 1.204 0.000
Sc 6.685 5.149 0.000
Pb 0.000 0.000 0.000
Pb 3.945 3.945 0.000
Se 1.116 5.060 1.766
Se 2.829 1.116 1.766
Se 5.060 6.774 1.766
Se 6.774 2.829 1.766
```

Calculated values
excess energy over the best structure of this formula in the dataset: 0 meV per atom
E_form (uncorrected): -0.96 eV/atom
spin magnetization: 0.00 μB per cell
Fermi-level density of states: 8.03 states/eV/cell


(4)
The following is a GGA-PBE calculation of a relaxed CdAg2P crystal, from the Alexandria database.

Structure (extended XYZ):
```
4
Lattice="3.008 0.000 0.000 0.000 3.008 0.000 0.000 0.000 8.130" Properties=species:S:1:pos:R:3 pbc="T T T"
Cd 0.000 0.000 0.000
Ag 0.000 0.000 3.937
Ag 1.504 1.504 6.012
P 1.504 1.504 2.111
```

Calculated values
excess energy over the best structure of this formula in the dataset: 77 meV per atom
E_form: 0.230 eV/atom
spin magnetization: 0.00 μB per cell
Fermi-level density of states: 1.93 states/eV/cell


(5)
The following is a GGA-PBE calculation of a relaxed RbNaPmBr5 crystal, from the Alexandria database.

Structure (extended XYZ):
```
16
Lattice="4.780 -6.820 0.000 4.780 6.820 0.000 -4.201 0.000 10.222" Properties=species:S:1:pos:R:3 pbc="T T T"
Rb 1.630 4.637 7.667
Rb 3.730 -4.637 2.556
Na 3.730 4.240 2.556
Na 1.630 -4.240 7.667
Pm 4.780 0.000 0.000
Pm 2.680 0.000 5.111
Br -2.112 0.721 9.556
Br 2.060 2.653 4.185
Br -0.012 -0.721 4.445
Br 5.400 2.653 0.926
Br 1.630 0.972 7.667
Br 3.730 -0.972 2.556
Br -0.040 -2.653 9.297
Br 5.372 0.721 5.777
Br 3.300 -2.653 6.037
Br 7.472 -0.721 0.666
```

Calculated values
E_form (uncorrected): -1.76 eV/atom
spin magnetization: 0.00 μB per cell
Fermi-level density of states: 0.00 states/eV/cell


(6)
The following is a GGA-PBE calculation of a relaxed CaTiSe2Br crystal, from the Alexandria database.

Structure (extended XYZ):
```
5
Lattice="5.047 0.000 0.000 0.000 5.047 0.000 0.000 0.000 5.081" Properties=species:S:1:pos:R:3 pbc="T T T"
Ca 0.000 0.000 0.000
Ti 2.524 2.524 2.540
Se 0.000 2.524 2.540
Se 2.524 0.000 2.540
Br 2.524 2.524 0.000
```

Calculated values
excess energy over the best structure of this formula in the dataset: 0 meV per atom
E_form (uncorrected): -1.12 eV/atom
spin magnetization: 0.84 μB per cell
Fermi-level density of states: 2.47 states/eV/cell


(7)
The following is a GGA-PBE calculation of a relaxed Ca2Cu5Ni12 crystal, from the Alexandria database.

Structure (extended XYZ):
```
19
Lattice="4.197 2.423 4.051 -4.197 2.423 4.051 0.000 -4.846 4.051" Properties=species:S:1:pos:R:3 pbc="T T T"
Ca 0.000 0.000 1.907
Ca 0.000 0.000 10.246
Cu -2.098 -1.212 4.051
Cu 0.000 0.000 4.881
Cu -2.098 1.212 8.102
Cu 0.000 2.423 4.051
Cu 0.000 0.000 7.271
Ni 0.000 -2.445 3.904
Ni -2.118 1.223 3.904
Ni -1.227 -2.125 6.076
Ni -2.454 0.000 6.076
Ni -2.118 -1.223 8.248
Ni 1.227 -2.125 6.076
Ni -1.227 2.125 6.076
Ni 2.118 1.223 3.904
Ni 2.454 0.000 6.076
Ni 1.227 2.125 6.076
Ni 2.118 -1.223 8.248
Ni 0.000 2.445 8.248
```

Calculated values
E_form: -0.039 eV/atom
spin magnetization: 4.31 μB per cell
Fermi-level density of states: 26.87 states/eV/cell


(8)
The following is a GGA-PBE calculation of a relaxed Tl9HgPb4 crystal, from the Alexandria database.

Structure (extended XYZ):
```
28
Lattice="9.886 0.000 0.000 -4.943 8.561 0.000 0.000 0.000 10.782" Properties=species:S:1:pos:R:3 pbc="T T T"
Tl -1.936 4.589 2.696
Tl 0.000 3.503 5.816
Tl 0.000 3.503 10.357
Tl -1.909 6.810 5.816
Tl -1.909 6.810 10.357
Tl 3.034 1.751 0.425
Tl 3.034 1.751 4.966
Tl 1.936 4.589 2.696
Tl 0.000 7.943 2.696
Tl 4.943 0.618 8.087
Tl 3.006 3.972 8.087
Tl 1.909 6.810 5.816
Tl 1.909 6.810 10.357
Tl 6.852 1.751 0.425
Tl 6.852 1.751 4.966
Tl 4.943 5.058 0.425
Tl 4.943 5.058 4.966
Tl 6.879 3.972 8.087
Hg 0.000 5.707 8.087
Hg 4.943 2.854 2.696
Pb 0.000 0.000 0.000
Pb 0.000 0.000 5.391
Pb 0.000 1.967 2.696
Pb -3.239 7.578 2.696
Pb 1.704 0.984 8.087
Pb 3.239 7.578 2.696
Pb 8.182 0.984 8.087
Pb 4.943 6.594 8.087
```

Calculated values
E_form: 0.035 eV/atom
spin magnetization: 0.00 μB per cell
Fermi-level density of states: 12.15 states/eV/cell